(1)
AlRuAu2 | GGA-PBE | optimized geometry

Calculated values
* raw total energy: -5.0048 eV per atom
* D(E_F): 2.52 states/eV per cell
* energy of formation from the pure elements: -111.5 meV/atom

a b c (Å): 3.9079 2.9387 5.8932
angles (deg): 75.44 90.00 90.00
Fractional coordinates of all 4 atoms:
Ru 0.0000 0.5386 0.5482
Au 0.5000 0.1854 0.2549
Au 0.0000 0.8144 0.9967
Al 0.5000 0.9615 0.7002



(2)
AlRu2Au | GGA-PBE | optimized geometry

Calculated values
* raw total energy: -6.2970 eV per atom
* D(E_F): 4.74 states/eV per cell
* energy of formation from the pure elements: 95.9 meV/atom

a b c (Å): 4.4063 4.4063 4.4063
angles (deg): 60.00 60.00 60.00
Fractional coordinates of all 4 atoms:
Ru 0.0000 0.0000 0.0000
Ru 0.7500 0.7500 0.7500
Al 0.5000 0.5000 0.5000
Au 0.2500 0.2500 0.2500